Record 1
Computed, not measured: a relaxed PmNd2Ag3 crystal at the GGA-PBE level of DFT.

```
PmNd2Ag3
1.0
3.721 0.000 0.000
0.000 3.721 0.000
0.000 0.000 11.276
Pm Nd Ag
1 2 3
Cartesian
0.000 0.000 0.000
0.000 0.000 3.749
0.000 0.000 7.527
1.861 1.861 1.848
1.861 1.861 5.638
1.861 1.861 9.428
```

Values from the calculation:
* formation energy: -0.27 eV/atom
* uncorrected energy: -24.39 eV/f.u.
* symmetry: P4/mmm
* theoretical density: 8.1 g/cm3

---

Record 2
Computed, not measured: a relaxed Ba3NaIrO6 crystal at the GGA-PBE level of DFT.

```
Ba3NaIrO6
1.0
5.067 2.926 3.969
-5.067 2.926 3.969
0.000 -5.851 3.969
Ba Na Ir O
6 2 2 12
Cartesian
-3.262 0.202 4.961
-1.806 -2.724 6.945
1.456 -2.926 4.961
-1.456 2.926 6.945
1.806 2.724 4.961
3.262 -0.202 6.945
0.000 0.000 2.977
0.000 0.000 8.930
0.000 0.000 0.000
0.000 0.000 5.953
-4.390 -1.451 6.742
-0.938 -4.527 5.164
-0.938 -1.324 4.758
-3.452 3.076 5.164
-0.678 1.474 4.758
-1.616 0.150 7.149
1.616 -0.150 4.758
0.678 -1.474 7.149
3.452 -3.076 6.742
0.938 1.324 7.149
0.938 4.527 6.742
4.390 1.451 5.164
```

Values from the calculation:
* uncorrected energy: -67.52 eV/f.u.
* symmetry: R-3c
* theoretical density: 6.8 g/cm3

---

Record 3
Computed, not measured: a relaxed ZnCoNiW crystal at the GGA-PBE level of DFT.

```
ZnCoNiW
1.0
0.000 2.931 2.931
2.931 0.000 2.931
2.931 2.931 0.000
Zn Co Ni W
1 1 1 1
Cartesian
0.000 0.000 0.000
1.466 1.466 1.466
4.397 4.397 4.397
2.931 2.931 2.931
```

Values from the calculation:
* formation energy: 0.06 eV/atom
* uncorrected energy: -26.67 eV/f.u.
* symmetry: F-43m
* theoretical density: 12.1 g/cm3

---

Record 4
Computed, not measured: a relaxed LiLaLu crystal at the GGA-PBE level of DFT.

```
LiLaLu
1.0
0.000 3.625 3.625
3.625 0.000 3.625
3.625 3.625 0.000
Li La Lu
1 1 1
Cartesian
0.000 0.000 0.000
1.813 1.813 1.813
3.625 3.625 3.625
```

Values from the calculation:
* uncorrected energy: -8.99 eV/f.u.
* symmetry: F-43m
* theoretical density: 5.6 g/cm3

---

Record 5
Computed, not measured: a relaxed Nb2MoAs crystal at the GGA-PBE level of DFT.

```
Nb2MoAs
1.0
0.000 3.213 3.213
3.213 0.000 3.213
3.213 3.213 0.000
Nb Mo As
2 1 1
Cartesian
0.000 0.000 0.000
1.607 1.607 1.607
4.820 4.820 4.820
3.213 3.213 3.213
```

Values from the calculation:
* uncorrected energy: -35.54 eV/f.u.
* symmetry: F-43m
* theoretical density: 8.9 g/cm3

---

Record 6
Computed, not measured: a relaxed NbTlCdNi crystal at the GGA-PBE level of DFT.

```
NbTlCdNi
1.0
0.000 3.314 3.314
3.314 0.000 3.314
3.314 3.314 0.000
Nb Tl Cd Ni
1 1 1 1
Cartesian
0.000 0.000 0.000
1.657 1.657 1.657
4.971 4.971 4.971
3.314 3.314 3.314
```

Values from the calculation:
* uncorrected energy: -17.00 eV/f.u.
* symmetry: F-43m
* theoretical density: 10.7 g/cm3

---

Question: Which of these has the highest uncorrected energy?
Answer: LiLaLu